This record from Alexandria via LeMat-Bulk describes NdEuMgAl after structural relaxation. The functional is GGA-PBE.

Values from the calculation:
- space-group type = F-43m, No. 216
- theoretical density (g cm⁻³) = 5.13
- DFT total energy (eV for the cell shown) = -21.2
- magnetization (μB/f.u.) = 7.37
- ΔE_f (meV/atom) = -194

Cell lengths 5.4197, 5.4197, 5.4197 Å; angles 60.00, 60.00, 60.00 degrees
Closest atoms and distances in Å follow each position.
Fractional positions:
Eu 0.2500 0.2500 0.2500  4 Mg 3.32, 4 Al 3.32
Mg 0.0000 0.0000 0.0000  4 Nd 3.32, 4 Eu 3.32
Nd 0.7500 0.7500 0.7500  4 Mg 3.32, 4 Al 3.32
Al 0.5000 0.5000 0.5000  4 Nd 3.32, 4 Eu 3.32